DFT (SCAN) results for BeFeTc at its PBEsol-relaxed geometry.

Geometry as POSCAR:
```
BeFeTc
1.0
-1.346 1.346 4.320
1.346 -1.346 4.320
1.346 1.346 -4.320
Be Fe Tc
1 1 1
Direct
0.000 0.000 0.000
0.639 0.639 0.000
0.318 0.318 0.000
```

## Properties
- crystal system = tetragonal
- energy above the most stable polymorph in this dataset (eV/atom) = 0.0000
- DFT total energy (eV per cell) = -57.84
- formation enthalpy at 0 K (eV per atom) = -0.10